First-principles (PBE) data for a relaxed structure of Dy2ScPd8, as listed in the Alexandria database.

```
Dy2ScPd8
1.0
4.1886 0.0000 0.0000
0.0000 6.6885 0.1974
-2.0943 -2.5585 6.8602
Pd Dy Sc
8 2 1
Cartesian
0.0000 -1.0389 4.5091
2.0943 5.1689 2.5484
0.0000 0.4462 1.9328
0.0000 1.6454 5.7283
2.0943 2.4846 1.3293
0.0000 4.6461 0.6359
2.0943 3.6838 5.1248
2.0943 -0.5161 6.4217
2.0943 0.7839 3.9461
0.0000 3.3461 3.1115
2.0943 0.0000 0.0000
```

DOS at the Fermi energy, states/eV per cell: 4.548
Uncorrected energy, eV per cell: -65.35